[1]
Computed, not measured: a relaxed BCSe2 crystal at the PBE level of DFT.

```
BCSe2
1.0
-3.780 -1.498 -3.754
3.971 -2.335 -3.067
-0.445 -5.345 -1.499
Se C B
4 2 2
direct
0.598 0.125 0.250 Se
0.375 0.402 0.750 Se
0.152 0.625 0.250 Se
0.875 0.848 0.750 Se
0.000 0.000 0.000 C
0.750 0.250 0.500 C
0.250 0.750 0.500 B
0.500 0.500 0.000 B
```

Results
- DOS(E_F): 0.641 states/eV per atom
- Space group: I-42d
- Offset from the most stable computed form: 0.000 eV per atom

---

[2]
Computed, not measured: a relaxed CoCN crystal at the PBE level of DFT.

```
CoCN
1.0
-0.631 -1.467 -2.012
1.856 -1.407 0.444
-4.350 -4.312 4.507
N C Co
2 2 2
direct
0.500 0.000 0.125 N
0.500 0.500 0.625 N
0.500 0.000 0.523 C
0.500 0.500 0.023 C
0.000 0.500 0.825 Co
0.000 0.000 0.325 Co
```

Results
- DOS(E_F): 0.706 states/eV per atom
- Space group: Amm2
- Offset from the most stable computed form: 0.025 eV per atom

---

[3]
Computed, not measured: a relaxed Li3YZn2 crystal at the PBE level of DFT.

```
Li3YZn2
1.0
4.028 0.000 1.072
1.617 6.772 2.026
-0.041 0.134 8.257
Li Y Zn
6 2 4
direct
0.262 0.894 0.582 Li
0.738 0.106 0.418 Li
0.062 0.281 0.594 Li
0.577 0.530 0.316 Li
0.423 0.470 0.684 Li
0.938 0.719 0.406 Li
0.129 0.739 0.003 Y
0.871 0.261 0.997 Y
0.419 0.954 0.209 Zn
0.581 0.046 0.791 Zn
0.211 0.327 0.252 Zn
0.789 0.673 0.748 Zn
```

Results
- Energy relative to the elements: -144 meV/atom
- DOS(E_F): 0.677 states/eV per atom
- Space group: C2/m

---

[4]
Computed, not measured: a relaxed LiAl2Se crystal at the PBE level of DFT.

```
LiAl2Se
1.0
7.817 0.000 0.000
0.000 7.817 0.000
3.908 3.908 2.637
Se Li Al
2 2 4
direct
0.750 0.250 0.500 Se
0.000 0.000 0.000 Se
0.500 0.500 0.000 Li
0.250 0.750 0.500 Li
0.375 0.340 0.750 Al
0.090 0.625 0.250 Al
0.875 0.910 0.750 Al
0.660 0.125 0.250 Al
```

Results
- Final energy: -13.782 eV per formula unit
- DOS(E_F): 0.458 states/eV per atom
- Space group: I-42d

---

[5]
Computed, not measured: a relaxed LiVHg crystal at the PBE level of DFT.

```
LiVHg
1.0
-0.730 -2.891 1.079
2.940 -0.989 -0.661
2.930 2.647 9.073
Hg V Li
2 2 2
direct
0.500 0.500 0.758 Hg
0.500 0.500 0.120 Hg
0.500 0.500 0.457 V
0.000 0.000 0.564 V
0.000 0.000 0.279 Li
0.000 0.000 0.933 Li
```

Results
- Energy relative to the elements: 32 meV/atom
- DOS(E_F): 0.758 states/eV per atom
- Space group: P4mm
- Offset from the most stable computed form: 0.000 eV per atom

---

[6]
Computed, not measured: a relaxed CaTcRu2 crystal at the PBE level of DFT.

```
CaTcRu2
1.0
5.335 -0.009 -0.007
2.232 4.846 0.007
-3.144 -3.419 2.625
Ru Tc Ca
2 1 1
direct
0.531 0.531 0.000 Ru
0.969 0.969 0.000 Ru
0.750 0.250 0.500 Tc
0.250 0.750 0.500 Ca
```

Results
- Energy relative to the elements: 474 meV/atom
- DOS(E_F): 1.044 states/eV per atom
- Space group: Immm
- Offset from the most stable computed form: 0.187 eV per atom

---

[7]
Computed, not measured: a relaxed Ca2Mg crystal at the PBE level of DFT.

```
Ca2Mg
1.0
-3.059 4.945 -0.510
0.093 -2.863 5.086
5.705 3.735 1.997
Ca Mg
4 2
direct
0.000 0.000 0.500 Ca
0.667 0.333 0.750 Ca
0.000 0.000 0.000 Ca
0.333 0.667 0.250 Ca
0.667 0.333 0.250 Mg
0.333 0.667 0.750 Mg
```

Results
- Energy relative to the elements: -27 meV/atom
- DOS(E_F): 1.154 states/eV per atom
- Space group: P6_3/mmc

---

[8]
Computed, not measured: a relaxed LiY2H crystal at the PBE level of DFT.

```
LiY2H
1.0
1.463 -4.585 1.132
-3.265 -3.276 1.748
-1.421 -3.813 -2.808
Y H Li
2 1 1
direct
0.750 0.750 0.750 Y
0.250 0.250 0.250 Y
0.000 0.000 0.000 H
0.500 0.500 0.500 Li
```

Results
- DOS(E_F): 1.342 states/eV per atom
- Space group: Fm-3m
- Offset from the most stable computed form: 0.477 eV per atom

---

[9]
Computed, not measured: a relaxed NpUIn crystal at the PBE level of DFT.

```
NpUIn
1.0
7.180 -0.076 -0.145
-2.752 6.505 0.632
1.676 3.235 6.189
U In Np
4 4 4
direct
0.441 0.660 0.774 U
0.476 0.160 0.809 U
0.031 0.840 0.684 U
0.566 0.340 0.219 U
0.353 0.784 0.329 In
0.818 0.716 0.363 In
0.921 0.284 0.897 In
0.887 0.216 0.432 In
0.275 0.223 0.076 Np
0.302 0.277 0.549 Np
0.701 0.777 0.948 Np
0.174 0.723 0.975 Np
```

Results
- Energy relative to the elements: 57 meV/atom
- DOS(E_F): 2.070 states/eV per atom
- Space group: Fdd2

---

[10]
Computed, not measured: a relaxed Tl2ZnPt crystal at the PBE level of DFT.

```
Tl2ZnPt
1.0
-1.868 4.479 1.135
-3.697 0.389 3.319
0.873 2.002 4.480
Tl Pt Zn
2 1 1
direct
0.000 0.000 0.000 Tl
0.250 0.250 0.250 Tl
0.500 0.500 0.500 Pt
0.750 0.750 0.750 Zn
```

Results
- Energy relative to the elements: 179 meV/atom
- DOS(E_F): 0.433 states/eV per atom
- Space group: F-43m
- Offset from the most stable computed form: 0.256 eV per atom

---

[11]
Computed, not measured: a relaxed ErSeS crystal at the PBE level of DFT.

```
ErSeS
1.0
3.940 0.000 0.000
0.000 3.940 0.000
-1.970 -1.970 8.137
S Er Se
2 2 2
direct
0.815 0.815 0.630 S
0.185 0.185 0.370 S
0.354 0.354 0.708 Er
0.646 0.646 0.292 Er
0.500 0.000 0.000 Se
0.000 0.500 0.000 Se
```

Results
- DOS(E_F): 0.233 states/eV per atom
- Space group: I4/mmm
- Offset from the most stable computed form: 0.072 eV per atom

---

- Which of these has the lowest DOS(E_F)?
  ErSeS

---

Please write out number 7 again, unchanged.
Computed, not measured: a relaxed Ca2Mg crystal at the PBE level of DFT.

```
Ca2Mg
1.0
-3.059 4.945 -0.510
0.093 -2.863 5.086
5.705 3.735 1.997
Ca Mg
4 2
direct
0.000 0.000 0.500 Ca
0.667 0.333 0.750 Ca
0.000 0.000 0.000 Ca
0.333 0.667 0.250 Ca
0.667 0.333 0.250 Mg
0.333 0.667 0.750 Mg
```

Results
- Energy relative to the elements: -27 meV/atom
- DOS(E_F): 1.154 states/eV per atom
- Space group: P6_3/mmc

---

Please write out number 7 again, unchanged.
Computed, not measured: a relaxed Ca2Mg crystal at the PBE level of DFT.

```
Ca2Mg
1.0
-3.059 4.945 -0.510
0.093 -2.863 5.086
5.705 3.735 1.997
Ca Mg
4 2
direct
0.000 0.000 0.500 Ca
0.667 0.333 0.750 Ca
0.000 0.000 0.000 Ca
0.333 0.667 0.250 Ca
0.667 0.333 0.250 Mg
0.333 0.667 0.750 Mg
```

Results
- Energy relative to the elements: -27 meV/atom
- DOS(E_F): 1.154 states/eV per atom
- Space group: P6_3/mmc